No. 1
A plane-wave DFT calculation with GGA-PBE was carried out for crystalline AsP2Ir at its relaxed geometry.

Output
**Energy relative to the elements**: -7 kJ per mole of atoms
**DOS(E_F)**: 0.36 states/eV/atom
**VASP energy**: -24.6 eV per formula unit

CIF file:
```
data_AsP2Ir
_cell_length_a 4.3867
_cell_length_b 3.5429
_cell_length_c 4.5336
_cell_angle_alpha 90.00
_cell_angle_beta 109.73
_cell_angle_gamma 90.00
_space_group_name_H-M_alt 'P 1 2/m 1'
_space_group_IT_number 10
loop_
_space_group_symop_operation_xyz
'x,y,z'
'-x,-y,-z'
'-x,y,-z'
'x,-y,z'
loop_
_atom_site_label
_atom_site_fract_x
_atom_site_fract_y
_atom_site_fract_z
As1 0.0000 0.0000 0.0000
P1 0.2374 0.5000 0.6807
Ir1 0.5000 0.0000 0.5000
```



No. 2
A plane-wave DFT calculation with GGA-PBE was carried out for crystalline ScZn2P at its relaxed geometry.

Output
**Energy relative to the elements**: -31 kJ per mole of atoms
**DOS(E_F)**: 0.39 states/eV/atom
**VASP energy**: -15.6 eV per formula unit

CIF file:
```
data_ScZn2P
_cell_length_a 3.8582
_cell_length_b 3.8582
_cell_length_c 16.9156
_cell_angle_alpha 90.00
_cell_angle_beta 90.00
_cell_angle_gamma 120.00
_space_group_name_H-M_alt 'R 3 m'
_space_group_IT_number 160
_space_group_name_Hall 'R 3 -2"'
loop_
_atom_site_label
_atom_site_fract_x
_atom_site_fract_y
_atom_site_fract_z
Sc1 0.0000 0.0000 0.0000
Zn1 0.0000 0.0000 0.2293
Zn2 0.0000 0.0000 0.4822
P1 0.0000 0.0000 0.7494
```



No. 3
A plane-wave DFT calculation with GGA-PBE was carried out for crystalline Rb2MnCI6 at its relaxed geometry.

Output
**DOS(E_F)**: 0.02 states/eV/atom
**VASP energy**: -31.5 eV per formula unit
**Formation energy from raw total energies**: -189.5 meV/atom

CIF file:
```
data_Rb2MnCI6
_cell_length_a 11.2065
_cell_length_b 11.2065
_cell_length_c 11.2065
_cell_angle_alpha 90.00
_cell_angle_beta 90.00
_cell_angle_gamma 90.00
_space_group_name_H-M_alt 'F m -3 m'
_space_group_IT_number 225
_space_group_name_Hall '-F 4 2 3'
loop_
_atom_site_label
_atom_site_fract_x
_atom_site_fract_y
_atom_site_fract_z
Rb1 0.2500 0.2500 0.2500
Mn1 0.0000 0.0000 0.0000
C1 0.0000 0.0000 0.5000
I1 0.0000 0.0000 0.2560
```